Below is crystalline AcTl3Hg3 at its relaxed geometry, with properties calculated at the PBE level.

Output
- Energy of formation from the pure elements: -138 meV per atom
- Total moment: 0.000 μB per atom
- Energy relative to the lowest polymorph listed for this composition: 0.00 eV per formula unit

a b c (Å): 7.8177 7.8177 9.2766
angles (deg): 65.08 65.08 60.00
Closest atoms and distances in Å follow each position.
Fractional coordinates of all 14 atoms:
Ac 0.3305 0.3305 0.0085  6 Hg 3.34-3.45, 3 Tl 3.68
Ac 0.6695 0.6695 0.9915  6 Hg 3.34-3.45, 3 Tl 3.68
Tl 0.5610 0.7311 0.6193  2 Tl 3.24, 3 Hg 3.26-3.30
Tl 0.7311 0.0887 0.6193  2 Tl 3.24, 3 Hg 3.26-3.30
Tl 0.0887 0.5610 0.6193  2 Tl 3.24, 3 Hg 3.26-3.30
Tl 0.9113 0.4390 0.3807  2 Tl 3.24, 3 Hg 3.26-3.30
Tl 0.2689 0.9113 0.3807  2 Tl 3.24, 3 Hg 3.26-3.30
Tl 0.4390 0.2689 0.3807  2 Tl 3.24, 3 Hg 3.26-3.30
Hg 0.1823 0.7209 0.1735  4 Hg 3.13-3.34, 3 Tl 3.26-3.30, 2 Ac 3.34-3.45
Hg 0.9233 0.1823 0.1735  4 Hg 3.13-3.34, 3 Tl 3.26-3.30, 2 Ac 3.34-3.45
Hg 0.7209 0.9233 0.1735  4 Hg 3.13-3.34, 3 Tl 3.26-3.30, 2 Ac 3.34-3.45
Hg 0.2791 0.0767 0.8265  4 Hg 3.13-3.34, 3 Tl 3.26-3.30, 2 Ac 3.34-3.45
Hg 0.0767 0.8177 0.8265  4 Hg 3.13-3.34, 3 Tl 3.26-3.30, 2 Ac 3.34-3.45
Hg 0.8177 0.2791 0.8265  4 Hg 3.13-3.34, 3 Tl 3.26-3.30, 2 Ac 3.34-3.45